[1]
Ni2Ir | Alexandria | meta-GGA SCAN | PBEsol geometry; magnetization = 3.91 μB per cell; DOS at the Fermi energy = 1.296 states/eV/atom; formation energy = 0.064 eV per atom; space group = I4/mmm, No. 139; energy relative to the lowest polymorph listed for this composition = 47.3 meV per atom
1.0
2.618 0.000 0.000
0.000 2.618 0.000
0.000 0.000 10.263
Ni Ir
4 2
Direct
0.000 0.000 0.170
0.000 0.000 0.830
0.500 0.500 0.330
0.500 0.500 0.670
0.000 0.000 0.500
0.500 0.500 0.000

***

[2]
Ni8Ir | Alexandria | meta-GGA SCAN | PBEsol geometry; magnetization = 7.25 μB per cell; DOS at the Fermi energy = 0.924 states/eV/atom; formation energy = 0.005 eV per atom; space group = I4/mmm, No. 139
1.0
-3.724 3.724 1.760
3.724 -3.724 1.760
3.724 3.724 -1.760
Ni Ir
8 1
Direct
0.000 0.336 0.336
0.000 0.664 0.664
0.332 0.332 0.663
0.332 0.668 0.000
0.336 0.000 0.336
0.664 0.000 0.664
0.668 0.332 0.000
0.668 0.668 0.337
0.000 0.000 0.000

***

[3]
NiIr2 | Alexandria | meta-GGA SCAN | PBEsol geometry; magnetization = 0.01 μB per cell; DOS at the Fermi energy = 0.844 states/eV/atom; formation energy = 0.021 eV per atom; space group = I4/mmm, No. 139
1.0
2.682 0.000 0.000
0.000 2.682 0.000
0.000 0.000 10.791
Ni Ir
2 4
Direct
0.000 0.000 0.000
0.500 0.500 0.500
0.000 0.000 0.337
0.000 0.000 0.663
0.500 0.500 0.163
0.500 0.500 0.837

***

[4]
NiIr3 | Alexandria | meta-GGA SCAN | PBEsol geometry; magnetization = 4.10 μB per cell; DOS at the Fermi energy = 0.905 states/eV/atom; formation energy = 0.031 eV per atom; space group = Cmmm, No. 65
1.0
5.315 0.000 0.000
0.000 7.496 0.000
0.000 0.000 2.679
Ni Ir
2 6
Direct
0.000 0.000 0.000
0.500 0.500 0.000
0.000 0.500 0.000
0.250 0.250 0.500
0.250 0.750 0.500
0.500 0.000 0.000
0.750 0.250 0.500
0.750 0.750 0.500

***

[5]
NiIr2 | Alexandria | meta-GGA SCAN | PBEsol geometry; magnetization = 0.70 μB per cell; DOS at the Fermi energy = 0.908 states/eV/atom; formation energy = 0.006 eV per atom; space group = P-3m1, No. 164
1.0
2.671 0.000 0.000
-1.335 2.313 0.000
0.000 0.000 6.320
Ni Ir
1 2
Direct
0.000 0.000 0.000
0.333 0.667 0.676
0.667 0.333 0.324

***

[6]
NiIr3O | Alexandria | meta-GGA SCAN | PBEsol geometry; magnetization = 1.97 μB per cell; DOS at the Fermi energy = 1.242 states/eV/atom; energy relative to the elements, uncorrected = 5.232 eV per formula unit; space group = Pm-3m, No. 221
1.0
4.027 0.000 0.000
0.000 4.027 0.000
0.000 0.000 4.027
Ni Ir O
1 3 1
Direct
0.000 0.000 0.000
0.000 0.500 0.500
0.500 0.000 0.500
0.500 0.500 0.000
0.500 0.500 0.500

***

[7]
Rb2NiIrO | Alexandria | meta-GGA SCAN | PBEsol geometry; magnetization = 1.25 μB per cell; DOS at the Fermi energy = 0.287 states/eV/atom; energy relative to the elements, uncorrected = 0.401 eV per formula unit; space group = P4/mmm, No. 123
1.0
6.004 0.000 0.000
0.000 6.004 0.000
0.000 0.000 3.655
Rb Ni Ir O
2 1 1 1
Direct
0.000 0.500 0.000
0.500 0.000 0.000
0.000 0.000 0.500
0.500 0.500 0.500
0.500 0.500 0.000

***

[8]
Sr3NiIrO6 | Alexandria | meta-GGA SCAN | PBEsol geometry; magnetization = 1.95 μB per cell; DOS at the Fermi energy = 0.328 states/eV/atom; energy relative to the elements, uncorrected = -24.071 eV per formula unit; space group = R-3c, No. 167
1.0
4.742 2.738 3.726
-4.742 2.738 3.726
0.000 -5.475 3.726
Sr Ni Ir O
6 2 2 12
Direct
0.114 0.750 0.386
0.250 0.614 0.886
0.386 0.114 0.750
0.614 0.886 0.250
0.750 0.386 0.114
0.886 0.250 0.614
0.250 0.250 0.250
0.750 0.750 0.750
0.000 0.000 0.000
0.500 0.500 0.500
0.036 0.905 0.713
0.095 0.287 0.964
0.213 0.405 0.536
0.287 0.964 0.095
0.405 0.536 0.213
0.464 0.787 0.595
0.536 0.213 0.405
0.595 0.464 0.787
0.713 0.036 0.905
0.787 0.595 0.464
0.905 0.713 0.036
0.964 0.095 0.287

***

[9]
YNiIrO2 | Alexandria | meta-GGA SCAN | PBEsol geometry; magnetization = 3.97 μB per cell; DOS at the Fermi energy = 1.143 states/eV/atom; energy relative to the elements, uncorrected = 0.645 eV per formula unit; space group = P4/mmm, No. 123
1.0
4.024 0.000 0.000
0.000 4.024 0.000
0.000 0.000 5.463
Y Ni Ir O
1 1 1 2
Direct
0.000 0.000 0.000
0.000 0.000 0.500
0.500 0.500 0.500
0.000 0.500 0.000
0.500 0.000 0.000

***

[10]
Zn2NiIrO6 | Alexandria | meta-GGA SCAN | PBEsol geometry; magnetization = 2.04 μB per cell; DOS at the Fermi energy = 0.208 states/eV/atom; energy relative to the elements, uncorrected = -11.408 eV per formula unit; space group = P2_1/c, No. 14
1.0
5.044 0.000 0.000
0.000 5.116 0.000
-5.003 0.000 7.429
Zn Ni Ir O
4 2 2 12
Direct
0.247 0.044 0.248
0.247 0.456 0.748
0.753 0.544 0.252
0.753 0.956 0.752
0.000 0.000 0.500
0.000 0.500 0.000
0.500 0.000 0.000
0.500 0.500 0.500
0.109 0.188 0.933
0.109 0.312 0.433
0.247 0.678 0.930
0.247 0.822 0.430
0.371 0.079 0.748
0.371 0.421 0.248
0.629 0.579 0.752
0.629 0.921 0.252
0.753 0.178 0.570
0.753 0.322 0.070
0.891 0.688 0.567
0.891 0.812 0.067

***

[11]
NiIrOs2 | Alexandria | meta-GGA SCAN | PBEsol geometry; magnetization = 0.00 μB per cell; DOS at the Fermi energy = 0.906 states/eV/atom; formation energy = 0.178 eV per atom; space group = P4/mmm, No. 123
1.0
2.673 0.000 0.000
0.000 2.673 0.000
0.000 0.000 7.365
Ni Ir Os
1 1 2
Direct
0.000 0.000 0.000
0.000 0.000 0.500
0.500 0.500 0.238
0.500 0.500 0.762

***

[12]
NiIrOs2 | Alexandria | meta-GGA SCAN | PBEsol geometry; magnetization = 0.00 μB per cell; DOS at the Fermi energy = 1.061 states/eV/atom; formation energy = 0.085 eV per atom; space group = Pmm2, No. 25
1.0
2.685 0.000 0.000
0.000 3.729 0.000
0.000 0.000 5.283
Ni Ir Os
1 1 2
Direct
0.000 0.000 0.000
0.500 0.500 0.759
0.000 0.000 0.492
0.500 0.500 0.244